[1]
Be2CdP: single point on PBEsol structure, SCAN.

energy above the lowest structure with this stoichiometry	0.00	eV/f.u.
total magnetization	0.00	μB/atom
final energy	-12.3429	eV/atom
crystal system	orthorhombic
E_form	0.86	kcal/mol of atoms

Cell lengths 3.4380, 3.4302, 10.4321 Å; angles 90.00, 90.00, 90.00 degrees
Last column: nearest neighbours and their distance in Å.
Space group Amm2 (No. 38)
Unique sites:
Be 0.0000 0.0000 0.0000  2 P 2.08
Be 0.5000 0.0000 0.4924  2 P 2.13
Cd 0.5000 0.0000 0.8114  4 Be 2.55-2.61, 2 P 2.69
P 0.0000 0.0000 0.6127  4 Be 2.08-2.13



[2]
BeCd3P: single point on PBEsol structure, SCAN.

total magnetization	0.00	μB/atom
final energy	-20.3453	eV/atom
crystal system	cubic
E_form	19.69	kcal/mol of atoms

Cell lengths 5.0138, 5.0138, 5.0138 Å; angles 90.00, 90.00, 90.00 degrees
Last column: nearest neighbours and their distance in Å.
Space group Pm-3m (No. 221)
Unique sites:
Be 0.0000 0.0000 0.0000  12 Cd 3.55
Cd 0.0000 0.5000 0.5000  2 P 2.51
P 0.5000 0.5000 0.5000  6 Cd 2.51